# 1
The following is a DFT calculation (PBE) of a geometry-optimized TiMn3N structure.

```
data_TiMn3N
_symmetry_space_group_name_H-M 'P m -3 m'
_symmetry_Int_Tables_number 221
_symmetry_space_group_name_Hall '-P 4 2 3'
_cell_length_a 3.784
_cell_length_b 3.784
_cell_length_c 3.784
_cell_angle_alpha 90.00
_cell_angle_beta 90.00
_cell_angle_gamma 90.00
loop_
_atom_site_label
_atom_site_type_symbol
_atom_site_fract_x
_atom_site_fract_y
_atom_site_fract_z
Ti1 Ti 0.000 0.000 0.000
Mn1 Mn 0.000 0.500 0.500
N1 N 0.500 0.500 0.500
```

Values from the calculation:
**E_tot**: -9.098 eV/atom
**Spin magnetization**: 1.386 Bohr magnetons per cell

=====

# 2
The following is a DFT calculation (PBE) of a geometry-optimized Ti4MnN structure.

```
data_Ti4MnN
_symmetry_space_group_name_H-M 'P 1 21/c 1'
_symmetry_Int_Tables_number 14
_symmetry_space_group_name_Hall '-P 2ybc'
_cell_length_a 5.482
_cell_length_b 5.304
_cell_length_c 5.807
_cell_angle_alpha 90.00
_cell_angle_beta 100.49
_cell_angle_gamma 90.00
loop_
_atom_site_label
_atom_site_type_symbol
_atom_site_fract_x
_atom_site_fract_y
_atom_site_fract_z
Ti1 Ti 0.107 0.168 0.191
Ti2 Ti 0.344 0.640 0.121
Mn1 Mn 0.500 0.000 0.000
N1 N 0.000 0.000 0.500
```

Values from the calculation:
**E_tot**: -8.788 eV/atom
**Spin magnetization**: 0.000 Bohr magnetons per cell

=====

# 3
The following is a DFT calculation (PBE) of a geometry-optimized Ti3MnN structure.

```
data_Ti3MnN
_symmetry_space_group_name_H-M 'P m -3 m'
_symmetry_Int_Tables_number 221
_symmetry_space_group_name_Hall '-P 4 2 3'
_cell_length_a 4.399
_cell_length_b 4.399
_cell_length_c 4.399
_cell_angle_alpha 90.00
_cell_angle_beta 90.00
_cell_angle_gamma 90.00
loop_
_atom_site_label
_atom_site_type_symbol
_atom_site_fract_x
_atom_site_fract_y
_atom_site_fract_z
Ti1 Ti 0.000 0.000 0.500
Mn1 Mn 0.000 0.000 0.000
N1 N 0.500 0.500 0.500
```

Values from the calculation:
**E_tot**: -7.058 eV/atom
**Spin magnetization**: 0.000 Bohr magnetons per cell

=====

# 4
The following is a DFT calculation (PBE) of a geometry-optimized MnTlN2 structure.

```
data_MnTlN2
_symmetry_space_group_name_H-M 'F m -3 m'
_symmetry_Int_Tables_number 225
_symmetry_space_group_name_Hall '-F 4 2 3'
_cell_length_a 5.819
_cell_length_b 5.819
_cell_length_c 5.819
_cell_angle_alpha 90.00
_cell_angle_beta 90.00
_cell_angle_gamma 90.00
loop_
_atom_site_label
_atom_site_type_symbol
_atom_site_fract_x
_atom_site_fract_y
_atom_site_fract_z
Mn1 Mn 0.000 0.000 0.000
Tl1 Tl 0.000 0.000 0.500
N1 N 0.250 0.250 0.250
```

Values from the calculation:
**E_tot**: -5.603 eV/atom
**Spin magnetization**: 15.333 Bohr magnetons per cell

=====

# 5
The following is a DFT calculation (PBE) of a geometry-optimized MnTlN3 structure.

```
data_MnTlN3
_symmetry_space_group_name_H-M 'P m -3 m'
_symmetry_Int_Tables_number 221
_symmetry_space_group_name_Hall '-P 4 2 3'
_cell_length_a 4.155
_cell_length_b 4.155
_cell_length_c 4.155
_cell_angle_alpha 90.00
_cell_angle_beta 90.00
_cell_angle_gamma 90.00
loop_
_atom_site_label
_atom_site_type_symbol
_atom_site_fract_x
_atom_site_fract_y
_atom_site_fract_z
Mn1 Mn 0.000 0.000 0.000
Tl1 Tl 0.500 0.500 0.500
N1 N 0.000 0.500 0.500
```

Values from the calculation:
**E_tot**: -4.267 eV/atom
**Spin magnetization**: 0.401 Bohr magnetons per cell

=====

# 6
The following is a DFT calculation (PBE) of a geometry-optimized MnTlN2 structure.

```
data_MnTlN2
_symmetry_space_group_name_H-M 'R -3 m'
_symmetry_Int_Tables_number 166
_symmetry_space_group_name_Hall '-R 3 2"'
_cell_length_a 3.4802
_cell_length_b 3.4802
_cell_length_c 18.2306
_cell_angle_alpha 90.00
_cell_angle_beta 90.00
_cell_angle_gamma 120.00
loop_
_atom_site_label
_atom_site_type_symbol
_atom_site_fract_x
_atom_site_fract_y
_atom_site_fract_z
Mn1 Mn 0.0000 0.0000 0.0000
Tl1 Tl 0.0000 0.0000 0.5000
N1 N 0.0000 0.0000 0.0973
```

Values from the calculation:
**E_tot**: -6.018 eV/atom
**Spin magnetization**: 8.424 Bohr magnetons per cell

=====

no.,DOS(E_F) (states/eV per cell)
1,6.3
2,9.2
3,14.0
4,15.7
5,5.4
6,5.2